No. 1
U2BeSi3Ir4 | the Alexandria database | PBE | relaxed; density = 13.71 g/cm³; density of states at the Fermi level = 12.65 states/eV/f.u.; space group = P-4m2, No. 115
1.0
4.033 0.000 0.000
0.000 4.033 0.000
0.000 0.000 9.965
U Be Si Ir
2 1 3 4
Direct
0.000 0.500 0.239
0.500 0.000 0.761
0.500 0.500 0.000
0.000 0.000 0.000
0.000 0.500 0.633
0.500 0.000 0.367
0.000 0.000 0.500
0.000 0.500 0.869
0.500 0.000 0.131
0.500 0.500 0.500

***

No. 2
HgWSeN2 | the Alexandria database | PBE | relaxed; energy above the lowest structure with this stoichiometry = 2.3584 eV per atom; density = 9.26 g/cm³; density of states at the Fermi level = 4.33 states/eV/f.u.; space group = P4/mmm, No. 123
1.0
4.058 0.000 0.000
0.000 4.058 0.000
0.000 0.000 5.353
Hg W Se N
1 1 1 2
Direct
0.000 0.000 0.000
0.500 0.500 0.500
0.000 0.000 0.500
0.000 0.500 0.000
0.500 0.000 0.000

***

Let's list formation energy without anion corrections in order: -0.73 2.70 eV per atom.